This record from the Alexandria database describes an optimized crystal structure of Pm2ZnIr. The functional is GGA-PBEsol.

POSCAR file:
```
Pm2ZnIr
1.0
-1.200 -3.830 2.949
-0.304 -4.598 -1.890
3.435 -3.408 1.177
Ir Pm Zn
1 2 1
Cartesian
0.965 -5.918 1.118
1.448 -8.877 1.677
0.483 -2.959 0.559
0.000 0.000 0.000
```

Calculated values
Formation enthalpy at 0 K: -472.2 meV per atom
SG: No. 225
V: 87.34 Å³ per cell